First-principles (PBE) data for crystalline Ta5NbMo2 at its relaxed geometry, as listed in Alexandria via LeMat-Bulk.

Calculated values
* M_tot: 0.0 μB per cell
* formation energy from the elements: -0.01 eV per atom
* electronic total energy: -11.387 eV per atom

Cell: 5.5615 10.9152 4.6552 Å, 90.00 90.00 90.00°
Last column: nearest neighbours and their distance in Å.
Space group Pbam (No. 55)
Inequivalent atoms, fractional coordinates:
1 Ta 0.0000 0.0000 0.0000 [2 per cell]  2 Nb 2.78, 4 Mo 2.84, 2 Ta 2.92
2 Ta 0.1562 0.2552 0.0000 [4 per cell]  5 Ta 2.78-2.94, 1 Nb 2.81, 2 Mo 2.86
3 Ta 0.1640 0.6184 0.5000 [4 per cell]  4 Mo 2.78-2.82, 2 Nb 2.81, 2 Ta 2.94
4 Nb 0.0000 0.5000 0.0000 [2 per cell]  8 Ta 2.78-2.81
5 Mo 0.1632 0.8768 0.5000 [4 per cell]  8 Ta 2.78-2.86

---

First-principles (PBE) data for crystalline MgIrN2O at its relaxed geometry, as listed in Alexandria via LeMat-Bulk.

Calculated values
* M_tot: 0.0 μB per cell
* formation energy (no corrections): 1.14 eV/f.u.
* electronic total energy: -6.185 eV per atom

Cell: 3.7514 3.7514 4.3773 Å, 90.00 90.00 90.00°
Last column: nearest neighbours and their distance in Å.
Space group P4/mmm (No. 123)
Inequivalent atoms, fractional coordinates:
1 Mg 0.0000 0.0000 0.0000 [1 per cell]  4 O 2.65, 8 N 2.88
2 Ir 0.5000 0.5000 0.5000 [1 per cell]  4 N 1.88
3 N 0.0000 0.5000 0.5000 [2 per cell]  2 Ir 1.88
4 O 0.5000 0.5000 0.0000 [1 per cell]  2 Ir 2.19

---

First-principles (PBE) data for crystalline TiGa2Ir3 at its relaxed geometry, as listed in Alexandria via LeMat-Bulk.

Calculated values
* M_tot: 0.0 μB per cell
* energy above the most stable polymorph in this dataset: 9.8 meV per atom
* formation energy from the elements: -0.58 eV per atom
* electronic total energy: -7.339 eV per atom

Cell: 4.4457 13.4791 5.8635 Å, 90.00 90.00 90.00°
Last column: nearest neighbours and their distance in Å.
Space group Cmmm (No. 65)
Inequivalent atoms, fractional coordinates:
1 Ti 0.0000 0.1626 0.0000 [4 per cell]  8 Ir 2.65-2.67, 2 Ga 2.93
2 Ga 0.0000 0.1660 0.5000 [4 per cell]  8 Ir 2.63-2.66, 2 Ti 2.93
3 Ga 0.0000 0.5000 0.0000 [2 per cell]  8 Ir 2.68-2.74, 2 Ga 2.93
4 Ga 0.0000 0.5000 0.5000 [2 per cell]  8 Ir 2.65-2.74, 2 Ga 2.93
5 Ir 0.0000 0.0000 0.2546 [4 per cell]  6 Ga 2.65-2.68, 2 Ti 2.65, 1 Ir 2.88
6 Ir 0.0000 0.3283 0.2502 [8 per cell]  5 Ga 2.63-2.74, 3 Ti 2.67, 2 Ir 2.93

---

Q: Look up the electronic total energy of the second one.
A: -6.185 eV per atom

---

Repeat the first record exactly.
First-principles (PBE) data for crystalline Ta5NbMo2 at its relaxed geometry, as listed in Alexandria via LeMat-Bulk.

Calculated values
* M_tot: 0.0 μB per cell
* formation energy from the elements: -0.01 eV per atom
* electronic total energy: -11.387 eV per atom

Cell: 5.5615 10.9152 4.6552 Å, 90.00 90.00 90.00°
Last column: nearest neighbours and their distance in Å.
Space group Pbam (No. 55)
Inequivalent atoms, fractional coordinates:
1 Ta 0.0000 0.0000 0.0000 [2 per cell]  2 Nb 2.78, 4 Mo 2.84, 2 Ta 2.92
2 Ta 0.1562 0.2552 0.0000 [4 per cell]  5 Ta 2.78-2.94, 1 Nb 2.81, 2 Mo 2.86
3 Ta 0.1640 0.6184 0.5000 [4 per cell]  4 Mo 2.78-2.82, 2 Nb 2.81, 2 Ta 2.94
4 Nb 0.0000 0.5000 0.0000 [2 per cell]  8 Ta 2.78-2.81
5 Mo 0.1632 0.8768 0.5000 [4 per cell]  8 Ta 2.78-2.86